Record 1
ZnPt3 | Alexandria via LeMat-Bulk | GGA-PBEsol | relaxed; calculated volume = 14.625 A^3/atom; E_form = -235 meV/atom; total moment = 0.00 μB/cell
1.0
4.520 0.000 0.000
0.000 4.691 0.000
0.000 0.000 5.518
Pt Zn
6 2
Direct
0.000 0.670 0.500
0.500 0.330 0.000
0.000 0.168 0.756
0.500 0.832 0.744
0.000 0.168 0.244
0.500 0.832 0.256
0.000 0.668 0.000
0.500 0.332 0.500



Record 2
ZnPt | Alexandria via LeMat-Bulk | GGA-PBEsol | relaxed; calculated volume = 13.935 A^3/atom; E_form = -565 meV/atom; total moment = 0.00 μB/cell
1.0
-2.605 0.638 -0.922
-0.569 -2.761 -0.304
-1.181 -0.115 3.257
Zn Pt
1 1
Direct
0.000 0.000 0.000
0.500 0.500 0.500